No. 1
Crystalline Ca4Th3NpN8 at its relaxed geometry, computed with PBE.

```
data_Ca4Th3NpN8
_chemical_formula_sum 'Ca12 Th9 Np3 N24'
_cell_length_a 7.2510
_cell_length_b 7.2510
_cell_length_c 17.3656
_cell_angle_alpha 90.00
_cell_angle_beta 90.00
_cell_angle_gamma 120.00
_space_group_name_H-M_alt 'R -3 m'
_space_group_IT_number 166
_space_group_name_Hall '-R 3 2"'
loop_
_atom_site_label
_atom_site_type_symbol
_atom_site_fract_x
_atom_site_fract_y
_atom_site_fract_z
Ca1 Ca 0.0000 0.0000 0.0000
Ca2 Ca 0.0000 0.5000 0.0000
Th1 Th 0.0000 0.5000 0.5000
Np1 Np 0.0000 0.0000 0.5000
N1 N 0.0000 0.0000 0.2414
N2 N 0.0144 0.5072 0.2401
```

Properties
- Formation energy (no corrections): -1.3246 eV per atom
- Size of the total moment: 2.9 μB/f.u.

---

No. 2
Crystalline Ca3ThNp2N6 at its relaxed geometry, computed with PBE.

```
data_Ca3ThNp2N6
_chemical_formula_sum 'Ca6 Th2 Np4 N12'
_cell_length_a 6.139
_cell_length_b 10.639
_cell_length_c 6.099
_cell_angle_alpha 90.00
_cell_angle_beta 109.59
_cell_angle_gamma 90.00
_space_group_name_H-M_alt 'C 1 2/m 1'
_space_group_IT_number 12
loop_
_space_group_symop_operation_xyz
'x,y,z'
'-x,-y,-z'
'-x,y,-z'
'x,-y,z'
'x+1/2,y+1/2,z'
'-x+1/2,-y+1/2,-z'
'-x+1/2,y+1/2,-z'
'x+1/2,-y+1/2,z'
loop_
_atom_site_label
_atom_site_type_symbol
_atom_site_fract_x
_atom_site_fract_y
_atom_site_fract_z
Ca1 Ca 0.000 0.000 0.000
Ca2 Ca 0.000 0.330 0.000
Th1 Th 0.000 0.500 0.500
Np1 Np 0.000 0.166 0.500
N1 N 0.224 0.000 0.719
N2 N 0.247 0.325 0.716
```

Properties
- Formation energy (no corrections): -1.2285 eV per atom
- Size of the total moment: 6.0 μB/f.u.

---

No. 3
Crystalline Ca2ThNpN4 at its relaxed geometry, computed with PBE.

```
data_Ca2ThNpN4
_chemical_formula_sum 'Ca2 Th1 Np1 N4'
_cell_length_a 6.107
_cell_length_b 3.581
_cell_length_c 6.202
_cell_angle_alpha 90.00
_cell_angle_beta 109.63
_cell_angle_gamma 90.00
_space_group_name_H-M_alt 'P 1 2/m 1'
_space_group_IT_number 10
loop_
_space_group_symop_operation_xyz
'x,y,z'
'-x,-y,-z'
'-x,y,-z'
'x,-y,z'
loop_
_atom_site_label
_atom_site_type_symbol
_atom_site_fract_x
_atom_site_fract_y
_atom_site_fract_z
Ca1 Ca 0.000 0.000 0.000
Ca2 Ca 0.000 0.500 0.500
Th1 Th 0.500 0.000 0.500
Np1 Np 0.500 0.500 0.000
N1 N 0.281 0.000 0.772
N2 N 0.282 0.500 0.242
```

Properties
- Formation energy (no corrections): -1.2542 eV per atom
- Size of the total moment: 3.0 μB/f.u.

---

No. 4
Crystalline Ca3Np3TiN8 at its relaxed geometry, computed with PBE.

```
data_Ca3Np3TiN8
_chemical_formula_sum 'Ca9 Np9 Ti3 N24'
_cell_length_a 6.7225
_cell_length_b 6.7225
_cell_length_c 17.0071
_cell_angle_alpha 90.00
_cell_angle_beta 90.00
_cell_angle_gamma 120.00
_space_group_name_H-M_alt 'R -3 m'
_space_group_IT_number 166
_space_group_name_Hall '-R 3 2"'
loop_
_atom_site_label
_atom_site_type_symbol
_atom_site_fract_x
_atom_site_fract_y
_atom_site_fract_z
Ca1 Ca 0.0000 0.5000 0.0000
Np1 Np 0.0000 0.5000 0.5000
Ti1 Ti 0.0000 0.0000 0.5000
N1 N 0.0000 0.0000 0.2421
N2 N 0.0160 0.5080 0.2306
```

Properties
- Formation energy (no corrections): -1.1371 eV per atom
- Size of the total moment: 7.0 μB/f.u.

---

| no. | N(E_F) (states/eV/f.u.) |
| --- | --- |
| 1 | 9.19 |
| 2 | 12.07 |
| 3 | 7.04 |
| 4 | 15.07 |